[1]
This record from Alexandria via LeMat-Bulk describes a relaxed ScRePt crystal. The functional is PBE.

The calculation puts the energy above the most stable polymorph in this dataset at 261.0 meV per atom. For the energy of formation from the pure elements, the calculation gives -2.24 kcal/mol of atoms. For the total magnetic moment, the calculation gives 0.00 μB per formula unit.

Structure (CIF):
```
data_ScRePt
_chemical_formula_sum 'Sc1 Re1 Pt1'
_symmetry_space_group_name_H-M 'P 3 m 1'
_symmetry_Int_Tables_number 156
_symmetry_space_group_name_Hall 'P 3 -2"'
_cell_length_a 2.8944
_cell_length_b 2.8944
_cell_length_c 6.8931
_cell_angle_alpha 90.00
_cell_angle_beta 90.00
_cell_angle_gamma 120.00
loop_
_atom_site_label
_atom_site_fract_x
_atom_site_fract_y
_atom_site_fract_z
Sc1 0.0000 0.0000 0.0000
Re1 0.6667 0.3333 0.6584
Pt1 0.3333 0.6667 0.3296
```

[2]
This record from Alexandria via LeMat-Bulk describes a relaxed ScRePt4 crystal. The functional is PBE.

For the energy of formation from the pure elements, the calculation gives -3.34 kcal/mol of atoms. For the total magnetic moment, the calculation gives 1.96 μB per formula unit.

Structure (CIF):
```
data_ScRePt4
_chemical_formula_sum 'Sc4 Re4 Pt16'
_symmetry_space_group_name_H-M 'F -4 3 m'
_symmetry_Int_Tables_number 216
_symmetry_space_group_name_Hall 'F -4 2 3'
_cell_length_a 7.4078
_cell_length_b 7.4078
_cell_length_c 7.4078
_cell_angle_alpha 90.00
_cell_angle_beta 90.00
_cell_angle_gamma 90.00
loop_
_atom_site_label
_atom_site_fract_x
_atom_site_fract_y
_atom_site_fract_z
Sc1 0.0000 0.0000 0.0000
Re1 0.2500 0.2500 0.2500
Pt1 0.1245 0.1245 0.6245
```

[3]
This record from Alexandria via LeMat-Bulk describes a relaxed Sc8RePt2 crystal. The functional is PBE.

For the energy of formation from the pure elements, the calculation gives -13.29 kcal/mol of atoms. For the total magnetic moment, the calculation gives 0.00 μB per formula unit.

Structure (CIF):
```
data_Sc8RePt2
_chemical_formula_sum 'Sc16 Re2 Pt4'
_symmetry_space_group_name_H-M 'C 1 2/m 1'
_symmetry_Int_Tables_number 12
_symmetry_space_group_name_Hall '-C 2y'
_cell_length_a 15.9099
_cell_length_b 4.6980
_cell_length_c 6.4536
_cell_angle_alpha 90.00
_cell_angle_beta 108.80
_cell_angle_gamma 90.00
loop_
_atom_site_label
_atom_site_fract_x
_atom_site_fract_y
_atom_site_fract_z
Sc1 0.0279 0.0000 0.2922
Sc2 0.0973 0.5000 0.9470
Sc3 0.1646 0.5000 0.4550
Sc4 0.1948 0.0000 0.7906
Re1 0.0000 0.5000 0.5000
Pt1 0.1847 0.0000 0.1924
```